Computed, not measured: a geometry-optimized HfInMoP2 structure at the PBE level of DFT.

a b c (Å): 4.952 4.952 5.218
angles (deg): 90.00 90.00 90.00
Fractional positions:
Hf  0.000  0.000  0.000
In  0.500  0.500  0.500
Mo  0.500  0.500  0.000
P  0.000  0.500  0.500
P  0.500  0.000  0.500

Values from the calculation:
Its formation energy is 1621 meV/atom. The calculation puts the density of states at the Fermi level at 0.845 states/eV per atom. Its excess energy over the best structure of this formula in the dataset is 709.4 meV/atom. The raw total energy comes out at -5.248 eV/atom.



Computed, not measured: a geometry-optimized HfScInMo structure at the PBE level of DFT.

a b c (Å): 4.829 4.829 4.829
angles (deg): 60.00 60.00 60.00
Fractional positions:
Hf  0.000  0.000  0.000
Sc  0.500  0.500  0.500
In  0.750  0.750  0.750
Mo  0.250  0.250  0.250

Values from the calculation:
Its formation energy is -105 meV/atom. The calculation puts the density of states at the Fermi level at 0.420 states/eV per atom. The raw total energy comes out at -7.569 eV/atom.



Computed, not measured: a geometry-optimized HfInMoSe2 structure at the PBE level of DFT.

a b c (Å): 5.183 5.183 5.300
angles (deg): 90.00 90.00 90.00
Fractional positions:
Hf  0.000  0.000  0.000
In  0.500  0.500  0.500
Mo  0.000  0.000  0.500
Se  0.000  0.500  0.000
Se  0.500  0.000  0.000

Values from the calculation:
The calculation puts the density of states at the Fermi level at 0.899 states/eV per atom. The uncorrected formation energy is 2.2 eV/f.u. The raw total energy comes out at -5.651 eV/atom.



Computed, not measured: a geometry-optimized SrHfInMo2 structure at the PBE level of DFT.

a b c (Å): 4.883 4.883 5.776
angles (deg): 90.00 90.00 90.00
Fractional positions:
Sr  0.000  0.000  0.000
Hf  0.000  0.000  0.500
In  0.500  0.500  0.000
Mo  0.000  0.500  0.500
Mo  0.500  0.000  0.500

Values from the calculation:
Its formation energy is 1543 meV/atom. The calculation puts the density of states at the Fermi level at 1.207 states/eV per atom. The raw total energy comes out at -5.664 eV/atom.



Computed, not measured: a geometry-optimized HfTaInMo2 structure at the PBE level of DFT.

a b c (Å): 4.713 4.713 5.180
angles (deg): 90.00 90.00 90.00
Fractional positions:
Hf  0.000  0.000  0.000
Ta  0.500  0.500  0.500
In  0.000  0.000  0.500
Mo  0.000  0.500  0.000
Mo  0.500  0.000  0.000

Values from the calculation:
Its formation energy is 1972 meV/atom. The calculation puts the density of states at the Fermi level at 1.690 states/eV per atom. The raw total energy comes out at -7.269 eV/atom.



Computed, not measured: a geometry-optimized HfTiInMo structure at the PBE level of DFT.

a b c (Å): 4.725 4.725 4.725
angles (deg): 60.00 60.00 60.00
Fractional positions:
Hf  0.000  0.000  0.000
Ti  0.500  0.500  0.500
In  0.750  0.750  0.750
Mo  0.250  0.250  0.250

Values from the calculation:
Its formation energy is -79 meV/atom. The calculation puts the density of states at the Fermi level at 0.930 states/eV per atom. The raw total energy comes out at -7.934 eV/atom.



Computed, not measured: a geometry-optimized HfV2InMo structure at the PBE level of DFT.

a b c (Å): 4.719 4.719 4.942
angles (deg): 90.00 90.00 90.00
Fractional positions:
Hf  0.000  0.000  0.000
V  0.000  0.500  0.500
V  0.500  0.000  0.500
In  0.500  0.500  0.500
Mo  0.500  0.500  0.000

Values from the calculation:
Its formation energy is 1798 meV/atom. The calculation puts the density of states at the Fermi level at 1.640 states/eV per atom. The raw total energy comes out at -6.554 eV/atom.



Computed, not measured: a geometry-optimized Hf6InN structure at the PBE level of DFT.

a b c (Å): 5.521 5.521 5.521
angles (deg): 100.40 100.40 100.40
Fractional positions:
Hf  0.085  0.772  0.660
Hf  0.228  0.340  0.915
Hf  0.340  0.915  0.228
Hf  0.660  0.085  0.772
Hf  0.772  0.660  0.085
Hf  0.915  0.228  0.340
In  0.500  0.500  0.500
N  0.000  0.000  0.000

Values from the calculation:
The calculation puts the density of states at the Fermi level at 0.879 states/eV per atom. The uncorrected formation energy is -3.9 eV/f.u. The raw total energy comes out at -9.340 eV/atom.